Here is KCd2W after structural relaxation from Alexandria via LeMat-Bulk. Energies are from PBE.

```
KCd2W
1.0
-4.4469 2.2169 1.2881
-3.8383 0.2197 -3.4012
-4.1986 -2.8739 0.6790
Cd K W
2 1 1
Direct
0.0000 0.0000 0.0000 Cd
0.2500 0.2500 0.2500 Cd
0.5000 0.5000 0.5000 K
0.7500 0.7500 0.7500 W
```

Values from the calculation:
Space-group type = F-43m, No. 216
V = 95.6 Å³ per cell
Energy above the lowest structure with this stoichiometry = 645 meV/atom
Calculated total energy = -2.693 eV/atom
N(E_F) = 1.34 states/eV/f.u.
Crystal system = cubic
M_tot = 0.771 μB per atom